## Tb2Th2N3 (PBE-GGA)

Data for a geometry-optimized Tb2Th2N3 structure.

Cell: 6.693 6.693 6.031 Å, 101.13 101.13 33.29°
Sites, in units of the cell vectors:
1 Tb 0.052 0.052 0.270
2 Tb 0.948 0.948 0.730
3 Th 0.323 0.323 0.235
4 Th 0.677 0.677 0.765
5 N 0.131 0.131 0.956
6 N 0.500 0.500 0.500
7 N 0.869 0.869 0.044

Results
**Magnetic moment**: 0.0 Bohr magnetons per cell
**E_form (uncorrected)**: -8.20 eV per formula unit
**SG**: C2/m, No. 12
**E**: -0.6014 Ry per atom